Run A
# YTc3Pb

Crystalline YTc3Pb at its relaxed geometry (PBE-GGA, Alexandria via LeMat-Bulk).

abc: 4.9329 4.9329 4.9329
angles: 90.00 90.00 90.00
Fractional coordinates of all 5 atoms:
Y 0.0000 0.0000 0.0000
Tc 0.0000 0.0000 0.5000
Tc 0.0000 0.5000 0.0000
Tc 0.5000 0.0000 0.0000
Pb 0.5000 0.5000 0.5000

Values from the calculation:
SG	Pm-3m
magnetic moment	0.916	μB/atom
ρ	8.163	g cm⁻³

=====

Run B
# YTc3Pb

Crystalline YTc3Pb at its relaxed geometry (PBE-GGA, Alexandria via LeMat-Bulk).

abc: 4.9911 4.9911 4.9911
angles: 90.00 90.00 90.00
Fractional coordinates of all 5 atoms:
Y 0.0000 0.0000 0.0000
Tc 0.0000 0.5000 0.5000
Tc 0.5000 0.0000 0.5000
Tc 0.5000 0.5000 0.0000
Pb 0.5000 0.5000 0.5000

Values from the calculation:
SG	Pm-3m
magnetic moment	0.724	μB/atom
ρ	7.881	g cm⁻³

=====

How do the structures above rank in stability at the extremes? run B comes first and run A comes last.